{
  "formula": "Rb2PuAg2Te4",
  "functional": "GGA-PBE",
  "state": "optimized geometry",
  "cell": [[4.531, 0.000, 0.000], [0.000, 8.721, 0.451], [-2.265, -3.059, 7.659]],
  "species": ["Te", "Te", "Te", "Te", "Rb", "Rb", "Ag", "Ag", "Pu"],
  "frac_coords": [[0.805, 0.809, 0.610], [0.512, 0.765, 0.024], [0.195, 0.191, 0.390], [0.488, 0.235, 0.976], [0.134, 0.572, 0.267], [0.866, 0.428, 0.733], [0.682, 0.985, 0.363], [0.318, 0.015, 0.637], [0.000, 0.000, 0.000]],
  "m_tot_mub_per_cell": 4.17,
  "raw_formation_energy_ev_per_atom": -0.755,
  "crystal_system": "monoclinic",
  "sg": "C2/m",
  "dos_at_fermi_per_ev_atom": 1.406
}

=====

{
  "formula": "CePr2Hg2",
  "functional": "GGA-PBE",
  "state": "optimized geometry",
  "cell": [[-3.085, -3.766, 0.323], [2.809, -5.387, 0.862], [-1.092, -1.771, 5.773]],
  "species": ["Hg", "Hg", "Ce", "Pr", "Pr"],
  "frac_coords": [[0.500, 0.711, 0.289], [0.500, 0.289, 0.711], [0.000, 0.000, 0.000], [0.804, 0.696, 0.696], [0.196, 0.304, 0.304]],
  "m_tot_mub_per_cell": 1.27,
  "formation_energy_ev_per_atom": -0.243,
  "crystal_system": "orthorhombic",
  "sg": "Immm",
  "dos_at_fermi_per_ev_atom": 2.100
}

=====

{
  "formula": "Cs2RbScBr6",
  "functional": "GGA-PBE",
  "state": "optimized geometry",
  "cell": [[8.389, 0.000, 0.000], [4.194, 7.264, 0.000], [4.194, 2.422, 6.848]],
  "species": ["Br", "Br", "Br", "Br", "Br", "Br", "Cs", "Cs", "Sc", "Rb"],
  "frac_coords": [[0.776, 0.224, 0.224], [0.224, 0.776, 0.776], [0.224, 0.224, 0.776], [0.224, 0.776, 0.224], [0.776, 0.224, 0.776], [0.776, 0.776, 0.224], [0.250, 0.250, 0.250], [0.750, 0.750, 0.750], [0.000, 0.000, 0.000], [0.500, 0.500, 0.500]],
  "m_tot_mub_per_cell": 0.00,
  "raw_formation_energy_ev_per_atom": -1.777,
  "crystal_system": "cubic",
  "sg": "Fm-3m",
  "dos_at_fermi_per_ev_atom": 0.000
}

=====

{
  "formula": "Tm5ThN6",
  "functional": "GGA-PBE",
  "state": "optimized geometry",
  "cell": [[5.908, 0.143, 0.897], [1.450, 5.014, 2.923], [0.098, 0.054, 5.981]],
  "species": ["N", "N", "N", "N", "N", "N", "Tm", "Tm", "Tm", "Tm", "Tm", "Th"],
  "frac_coords": [[0.749, 0.746, 0.000], [0.747, 0.422, 0.662], [0.253, 0.578, 0.338], [0.253, 0.916, 0.662], [0.747, 0.084, 0.338], [0.251, 0.254, 0.000], [0.000, 0.666, 0.668], [0.000, 0.334, 0.332], [0.500, 0.831, 0.338], [0.500, 0.169, 0.662], [0.500, 0.500, 0.000], [0.000, 0.000, 0.000]],
  "m_tot_mub_per_cell": 0.00,
  "raw_formation_energy_ev_per_atom": -1.773,
  "crystal_system": "monoclinic",
  "sg": "C2/m",
  "dos_at_fermi_per_ev_atom": 0.122
}

=====

{
  "formula": "La2Co2Bi",
  "functional": "GGA-PBE",
  "state": "optimized geometry",
  "cell": [[5.582, 0.000, 0.000], [0.000, 5.582, 0.000], [2.791, 2.791, 3.915]],
  "species": ["Bi", "La", "La", "Co", "Co"],
  "frac_coords": [[0.000, 0.000, 0.000], [0.750, 0.250, 0.500], [0.250, 0.750, 0.500], [0.352, 0.352, 0.297], [0.648, 0.648, 0.703]],
  "m_tot_mub_per_cell": 1.09,
  "formation_energy_ev_per_atom": -0.122,
  "crystal_system": "tetragonal",
  "sg": "I4/mmm",
  "dos_at_fermi_per_ev_atom": 1.127
}

=====

{
  "formula": "HoThMnZn",
  "functional": "GGA-PBE",
  "state": "optimized geometry",
  "cell": [[5.050, 0.000, 0.000], [2.525, 4.373, 0.000], [2.525, 1.458, 4.123]],
  "species": ["Ho", "Zn", "Th", "Mn"],
  "frac_coords": [[0.750, 0.750, 0.750], [0.000, 0.000, 0.000], [0.250, 0.250, 0.250], [0.500, 0.500, 0.500]],
  "m_tot_mub_per_cell": 2.32,
  "formation_energy_ev_per_atom": -0.008,
  "crystal_system": "cubic",
  "sg": "F-43m",
  "dos_at_fermi_per_ev_atom": 0.943
}

=====

{
  "formula": "K2SbOs",
  "functional": "GGA-PBE",
  "state": "optimized geometry",
  "cell": [[6.557, 0.000, 0.000], [0.000, 6.557, 0.000], [0.000, 0.000, 2.756]],
  "species": ["Sb", "K", "K", "Os"],
  "frac_coords": [[0.000, 0.500, 0.500], [0.500, 0.500, 0.000], [0.000, 0.000, 0.000], [0.500, 0.000, 0.500]],
  "m_tot_mub_per_cell": 0.89,
  "raw_formation_energy_ev_per_atom": 1.026,
  "crystal_system": "tetragonal",
  "sg": "P4/mmm",
  "dos_at_fermi_per_ev_atom": 0.990
}

=====

{
  "formula": "KBaSc2Ta",
  "functional": "GGA-PBE",
  "state": "optimized geometry",
  "cell": [[-1.048, -4.382, -2.843], [6.075, -1.746, 0.451], [-1.095, -2.651, 4.489]],
  "species": ["K", "Ta", "Sc", "Sc", "Ba"],
  "frac_coords": [[0.000, 0.500, 0.000], [0.000, 0.000, 0.000], [0.000, 0.000, 0.500], [0.500, 0.000, 0.000], [0.500, 0.500, 0.500]],
  "m_tot_mub_per_cell": 0.00,
  "formation_energy_ev_per_atom": 0.861,
  "crystal_system": "tetragonal",
  "sg": "P4/mmm",
  "dos_at_fermi_per_ev_atom": 0.806
}

=====

{
  "formula": "Sc4CuS2",
  "functional": "GGA-PBE",
  "state": "optimized geometry",
  "cell": [[3.612, 0.000, 0.000], [-1.806, 5.936, 0.000], [0.000, 0.000, 12.596]],
  "species": ["Sc", "Sc", "Sc", "Sc", "Sc", "Sc", "Sc", "Sc", "Cu", "Cu", "S", "S", "S", "S"],
  "frac_coords": [[0.776, 0.552, 0.378], [0.056, 0.112, 0.250], [0.500, 0.000, 0.500], [0.776, 0.552, 0.122], [0.944, 0.888, 0.750], [0.224, 0.448, 0.622], [0.500, 0.000, 0.000], [0.224, 0.448, 0.878], [0.612, 0.224, 0.750], [0.388, 0.776, 0.250], [0.863, 0.726, 0.938], [0.863, 0.726, 0.562], [0.137, 0.274, 0.062], [0.137, 0.274, 0.438]],
  "m_tot_mub_per_cell": 0.00,
  "raw_formation_energy_ev_per_atom": -1.158,
  "crystal_system": "orthorhombic",
  "sg": "Cmcm",
  "dos_at_fermi_per_ev_atom": 0.502
}

=====

{
  "formula": "Ac3Se2O2",
  "functional": "GGA-PBE",
  "state": "optimized geometry",
  "cell": [[-0.520, -3.503, -2.247], [7.578, -1.417, -3.460], [4.217, -7.462, 6.739]],
  "species": ["Ac", "Ac", "Ac", "Ac", "Ac", "Ac", "O", "O", "O", "O", "Se", "Se", "Se", "Se"],
  "frac_coords": [[0.130, 0.523, 0.217], [0.399, 0.741, 0.460], [0.601, 0.259, 0.540], [0.870, 0.477, 0.783], [0.903, 0.025, 0.169], [0.097, 0.975, 0.831], [0.955, 0.769, 0.321], [0.045, 0.231, 0.679], [0.576, 0.495, 0.354], [0.424, 0.505, 0.646], [0.602, 0.763, 0.034], [0.744, 0.861, 0.651], [0.256, 0.139, 0.349], [0.398, 0.237, 0.966]],
  "m_tot_mub_per_cell": 1.03,
  "raw_formation_energy_ev_per_atom": -2.632,
  "crystal_system": "monoclinic",
  "sg": "C2/m",
  "dos_at_fermi_per_ev_atom": 0.342
}

=====

{
  "formula": "Ca3Mg5",
  "functional": "GGA-PBE",
  "state": "optimized geometry",
  "cell": [[9.847, -0.003, 0.000], [-4.952, 8.512, 0.000], [0.000, 0.000, 5.881]],
  "species": ["Ca", "Ca", "Ca", "Ca", "Ca", "Ca", "Mg", "Mg", "Mg", "Mg", "Mg", "Mg", "Mg", "Mg", "Mg", "Mg"],
  "frac_coords": [[0.389, 0.999, 0.750], [0.999, 0.389, 0.750], [0.001, 0.611, 0.250], [0.611, 0.001, 0.250], [0.610, 0.610, 0.750], [0.390, 0.390, 0.250], [0.806, 0.999, 0.750], [0.334, 0.666, 0.000], [0.195, 0.195, 0.750], [0.666, 0.334, 0.500], [0.999, 0.806, 0.750], [0.666, 0.334, 0.000], [0.805, 0.805, 0.250], [0.001, 0.194, 0.250], [0.194, 0.001, 0.250], [0.334, 0.666, 0.500]],
  "m_tot_mub_per_cell": 0.00,
  "formation_energy_ev_per_atom": 0.081,
  "crystal_system": "orthorhombic",
  "sg": "Cmcm",
  "dos_at_fermi_per_ev_atom": 0.522
}

=====

{
  "formula": "FeCuPt14",
  "functional": "GGA-PBE",
  "state": "optimized geometry",
  "cell": [[-4.979, -2.448, -0.308], [3.648, -1.607, 3.871], [-3.435, 6.253, 5.833]],
  "species": ["Pt", "Pt", "Pt", "Pt", "Pt", "Pt", "Pt", "Pt", "Pt", "Pt", "Pt", "Pt", "Pt", "Pt", "Cu", "Fe"],
  "frac_coords": [[0.543, 0.957, 0.500], [0.873, 0.626, 0.739], [0.876, 0.124, 0.254], [0.374, 0.127, 0.261], [0.374, 0.127, 0.739], [0.377, 0.623, 0.744], [0.708, 0.292, 0.000], [0.377, 0.623, 0.256], [0.209, 0.292, 0.000], [0.876, 0.124, 0.746], [0.043, 0.457, 0.500], [0.208, 0.792, 0.000], [0.873, 0.626, 0.261], [0.708, 0.791, 0.000], [0.041, 0.959, 0.500], [0.541, 0.459, 0.500]],
  "m_tot_mub_per_cell": 5.22,
  "formation_energy_ev_per_atom": -0.055,
  "crystal_system": "orthorhombic",
  "sg": "Amm2",
  "dos_at_fermi_per_ev_atom": 1.498
}